Record 1
DFT (PBE) results for an optimized crystal structure of La2YZr.

a = 3.559 Å, b = 4.914 Å, c = 7.184 Å
α = 90.00°, β = 90.00°, γ = 90.00°
Space group Pmmm (No. 47)
Asymmetric unit:
La  0.000  0.000  0.234 (multiplicity 2)
Y  0.500  0.500  0.500 (multiplicity 1)
Zr  0.500  0.500  0.000 (multiplicity 1)

Computed properties:
E above lowest polymorph, eV/atom: 0.0294
Raw total energy, eV/atom: -6.088
Fermi-level density of states, states/eV/f.u.: 5.1
V, Å³/f.u.: 125.6
ΔE_f, eV/atom: 0.13


Record 2
DFT (PBE) results for an optimized crystal structure of CuWSN2.

a = 3.851 Å, b = 3.851 Å, c = 5.087 Å
α = 90.00°, β = 90.00°, γ = 90.00°
Space group P4/mmm (No. 123)
Asymmetric unit:
Cu  0.000  0.000  0.000 (multiplicity 1)
W  0.500  0.500  0.500 (multiplicity 1)
S  0.500  0.500  0.000 (multiplicity 1)
N  0.000  0.500  0.500 (multiplicity 2)

Computed properties:
Formation energy without anion corrections, eV/atom: 0.455
E above lowest polymorph, eV/atom: 0.0000
Raw total energy, eV/atom: -7.111
Fermi-level density of states, states/eV/f.u.: 2.5
V, Å³/f.u.: 75.4